Density functional theory data (PBE) for an optimized crystal structure of Te2PRh6.

Cell: 6.712 6.712 3.633 Å, 90.00 90.00 120.00°
Positions (direct):
Te1 0.333 0.667 0.000
Te2 0.667 0.333 0.000
P1 0.000 0.000 0.500
Rh1 0.000 0.378 0.500
Rh2 0.000 0.757 0.000
Rh3 0.243 0.243 0.000
Rh4 0.378 0.000 0.500
Rh5 0.622 0.622 0.500
Rh6 0.757 0.000 0.000

- Calculated density: 10.6 g cm⁻³
- Uncorrected formation energy: -309 meV/atom
- Density of states at the Fermi level: 1.21 states/eV per atom
- Raw total energy: -6.51 eV per atom
- Crystal system: hexagonal